PBE-GGA Cs2RbNaCd, relaxed; V = 377.05 Å³/f.u.; formation energy from the elements = 106 meV/atom; space group = P4/mmm, No. 123; DOS at the Fermi energy = 0.608 states/eV per atom
1.0
7.8816 0.0000 0.0000
0.0000 7.8816 0.0000
0.0000 0.0000 6.0697
Cs Na Rb Cd
2 1 1 1
Cartesian
0.0000 3.9408 0.0000
3.9408 0.0000 0.0000
0.0000 0.0000 0.0000
3.9408 3.9408 3.0349
0.0000 0.0000 3.0349